Record 1
{
  "formula": "NdPaSbN2",
  "functional": "GGA-PBE",
  "state": "optimized geometry",
  "e_tot_ev_per_cell": -42.03,
  "m_tot_mub_per_cell": 0.000,
  "cell": [[3.975, 0.000, 0.000], [0.000, 3.975, 0.000], [-1.988, -1.988, 6.771]],
  "species": ["Pa", "N", "N", "Sb", "Nd"],
  "frac_coords": [[0.172, 0.172, 0.345], [0.241, 0.741, 0.482], [0.741, 0.241, 0.482], [0.506, 0.506, 0.013], [0.839, 0.839, 0.679]]
}

---

Record 2
{
  "formula": "Nd2PaSb2N2",
  "functional": "GGA-PBE",
  "state": "optimized geometry",
  "e_tot_ev_per_cell": -51.99,
  "m_tot_mub_per_cell": 0.000,
  "cell": [[4.413, 0.000, 0.000], [0.000, 4.413, 0.000], [-2.207, -2.207, 8.267]],
  "species": ["Sb", "Sb", "N", "N", "Pa", "Nd", "Nd"],
  "frac_coords": [[0.191, 0.191, 0.381], [0.809, 0.809, 0.619], [0.000, 0.500, 0.000], [0.500, 0.000, 0.000], [0.000, 0.000, 0.000], [0.388, 0.388, 0.776], [0.612, 0.612, 0.224]]
}

---

Record 3
{
  "formula": "NdPaSb2N",
  "functional": "GGA-PBE",
  "state": "optimized geometry",
  "e_tot_ev_per_cell": -71.62,
  "m_tot_mub_per_cell": 0.000,
  "cell": [[-0.882, -0.537, -3.873], [3.202, -2.379, -0.400], [-9.477, -13.430, 4.019]],
  "species": ["Nd", "Nd", "Sb", "Sb", "Sb", "Sb", "Pa", "Pa", "N", "N"],
  "frac_coords": [[0.000, 0.500, 0.859], [0.500, 0.000, 0.141], [0.000, 0.500, 0.672], [0.000, 0.500, 0.059], [0.500, 0.000, 0.941], [0.500, 0.000, 0.328], [0.500, 0.000, 0.567], [0.000, 0.500, 0.433], [0.000, 0.000, 0.500], [0.500, 0.500, 0.500]]
}

---

Record 4
{
  "formula": "NdScPa2N4",
  "functional": "GGA-PBE",
  "state": "optimized geometry",
  "e_tot_ev_per_cell": -152.06,
  "m_tot_mub_per_cell": 0.000,
  "cell": [[6.960, 0.002, -0.040], [-0.003, 6.960, -0.040], [-3.468, -3.470, 4.962]],
  "species": ["N", "N", "N", "N", "N", "N", "N", "N", "Sc", "Sc", "Pa", "Pa", "Pa", "Pa", "Nd", "Nd"],
  "frac_coords": [[0.732, 0.227, 0.979], [0.268, 0.773, 0.021], [0.740, 0.760, 0.996], [0.727, 0.232, 0.479], [0.273, 0.768, 0.521], [0.260, 0.240, 0.496], [0.260, 0.240, 0.004], [0.740, 0.760, 0.504], [0.500, 0.500, 0.500], [0.000, 0.000, 0.000], [0.500, 0.000, 0.000], [0.500, 0.500, 0.000], [0.000, 0.000, 0.500], [0.500, 0.000, 0.500], [0.000, 0.500, 0.000], [0.000, 0.500, 0.500]]
}

---

Record 5
{
  "formula": "Nd2ScPaN4",
  "functional": "GGA-PBE",
  "state": "optimized geometry",
  "e_tot_ev_per_cell": -71.28,
  "m_tot_mub_per_cell": 0.000,
  "cell": [[-1.903, -2.433, 1.680], [4.678, -1.011, 3.836], [-0.542, 3.649, 4.672]],
  "species": ["N", "N", "N", "N", "Nd", "Nd", "Pa", "Sc"],
  "frac_coords": [[0.500, 0.285, 0.741], [0.000, 0.715, 0.756], [0.500, 0.715, 0.259], [0.000, 0.285, 0.244], [0.500, 0.000, 0.500], [0.000, 0.000, 0.000], [0.000, 0.500, 0.500], [0.500, 0.500, 0.000]]
}

---

Record 6
{
  "formula": "NdSc2PaN4",
  "functional": "GGA-PBE",
  "state": "optimized geometry",
  "e_tot_ev_per_cell": -73.26,
  "m_tot_mub_per_cell": 0.000,
  "cell": [[3.403, 0.000, 0.000], [0.000, 5.844, -0.115], [0.000, 2.056, 5.543]],
  "species": ["Pa", "N", "N", "N", "N", "Sc", "Sc", "Nd"],
  "frac_coords": [[0.000, 0.500, 0.500], [0.000, 0.764, 0.722], [0.000, 0.236, 0.278], [0.500, 0.233, 0.743], [0.500, 0.767, 0.257], [0.500, 0.000, 0.500], [0.000, 0.000, 0.000], [0.500, 0.500, 0.000]]
}

---

Record 7
{
  "formula": "NdPaSe2N",
  "functional": "GGA-PBE",
  "state": "optimized geometry",
  "e_tot_ev_per_cell": -76.74,
  "m_tot_mub_per_cell": 1.381,
  "cell": [[-3.704, 1.330, 0.715], [-0.784, -3.313, 2.100], [4.832, 6.756, 12.465]],
  "species": ["Se", "Se", "Se", "Se", "N", "N", "Nd", "Nd", "Pa", "Pa"],
  "frac_coords": [[0.000, 0.500, 0.681], [0.500, 0.000, 0.913], [0.500, 0.000, 0.319], [0.000, 0.500, 0.087], [0.000, 0.000, 0.500], [0.500, 0.500, 0.500], [0.500, 0.000, 0.127], [0.000, 0.500, 0.873], [0.000, 0.500, 0.423], [0.500, 0.000, 0.577]]
}

---

Record 8
{
  "formula": "NdPaSeN2",
  "functional": "GGA-PBE",
  "state": "optimized geometry",
  "e_tot_ev_per_cell": -43.11,
  "m_tot_mub_per_cell": 0.000,
  "cell": [[3.942, 0.000, 0.000], [0.000, 3.942, 0.000], [-1.971, -1.971, 6.233]],
  "species": ["Pa", "N", "N", "Se", "Nd"],
  "frac_coords": [[0.164, 0.164, 0.329], [0.741, 0.241, 0.482], [0.241, 0.741, 0.482], [0.505, 0.505, 0.009], [0.849, 0.849, 0.699]]
}

---

Record 9
{
  "formula": "NdPa2SiN5",
  "functional": "GGA-PBE",
  "state": "optimized geometry",
  "e_tot_ev_per_cell": -164.57,
  "m_tot_mub_per_cell": 0.000,
  "cell": [[5.523, 0.000, 0.000], [0.000, 6.604, 0.000], [0.000, 0.000, 6.604]],
  "species": ["N", "N", "N", "N", "N", "N", "N", "N", "N", "N", "Si", "Si", "Pa", "Pa", "Pa", "Pa", "Nd", "Nd"],
  "frac_coords": [[0.763, 0.139, 0.639], [0.763, 0.861, 0.361], [0.237, 0.139, 0.639], [0.763, 0.361, 0.139], [0.237, 0.361, 0.139], [0.763, 0.639, 0.861], [0.500, 0.500, 0.500], [0.237, 0.861, 0.361], [0.237, 0.639, 0.861], [0.500, 0.000, 0.000], [0.000, 0.000, 0.500], [0.000, 0.500, 0.000], [0.500, 0.822, 0.678], [0.500, 0.178, 0.322], [0.500, 0.322, 0.822], [0.500, 0.678, 0.178], [0.000, 0.000, 0.000], [0.000, 0.500, 0.500]]
}

---

Record 10
{
  "formula": "Nd3SmPa2N6",
  "functional": "GGA-PBE",
  "state": "optimized geometry",
  "e_tot_ev_per_cell": -106.74,
  "m_tot_mub_per_cell": 0.000,
  "cell": [[6.197, -0.002, 0.001], [-3.098, 5.367, 0.001], [-1.033, -1.789, 5.879]],
  "species": ["N", "N", "N", "N", "N", "N", "Nd", "Nd", "Nd", "Sm", "Pa", "Pa"],
  "frac_coords": [[0.720, 0.720, 0.218], [0.426, 0.074, 0.220], [0.926, 0.574, 0.780], [0.280, 0.280, 0.782], [0.574, 0.926, 0.780], [0.074, 0.426, 0.220], [0.500, 0.500, 0.500], [0.835, 0.165, 0.500], [0.165, 0.835, 0.500], [0.000, 0.000, 0.000], [0.667, 0.333, 0.000], [0.333, 0.667, 0.000]]
}

---

Record 11
{
  "formula": "Nd2SmPaN4",
  "functional": "GGA-PBE",
  "state": "optimized geometry",
  "e_tot_ev_per_cell": -69.31,
  "m_tot_mub_per_cell": 0.000,
  "cell": [[-0.981, -2.949, 1.813], [5.184, 0.346, 3.369], [-4.499, 3.240, 2.835]],
  "species": ["N", "N", "N", "N", "Nd", "Nd", "Pa", "Sm"],
  "frac_coords": [[0.500, 0.226, 0.222], [0.000, 0.236, 0.772], [0.500, 0.774, 0.778], [0.000, 0.764, 0.228], [0.500, 0.000, 0.500], [0.000, 0.500, 0.500], [0.000, 0.000, 0.000], [0.500, 0.500, 0.000]]
}

---

| no. | formation energy from raw total energies (eV/atom) |
| --- | --- |
| 1 | -1.40 |
| 2 | -1.15 |
| 3 | -0.99 |
| 4 | -1.58 |
| 5 | -1.58 |
| 6 | -1.63 |
| 7 | -1.76 |
| 8 | -1.74 |
| 9 | -1.28 |
| 10 | -1.56 |
| 11 | -1.53 |